# 1
CeNd2DyRh2 | PBE | relaxed

Structure (POSCAR):
```
CeNd2DyRh2
1.0
6.8100 0.0000 0.0000
0.0000 6.8549 0.0000
-3.4050 -3.4275 6.8848
Ce Rh Nd Dy
2 4 4 2
Direct
0.7500 0.0000 0.0000
0.2500 0.0000 0.0000
0.3942 0.6612 0.7883
0.8942 0.1272 0.7883
0.1058 0.8728 0.2117
0.6058 0.3388 0.2117
0.6927 0.9654 0.3853
0.8073 0.5801 0.6147
0.1927 0.4199 0.3853
0.3073 0.0346 0.6147
0.2500 0.5000 0.0000
0.7500 0.5000 0.0000
```

Results
Raw total energy   -75.5 eV per cell
Energy of formation from the pure elements   -493 meV/atom
Space group   Ibam, No. 72
ρ   8.2 g/cm3

---

# 2
Ce3V5H12 | PBE | relaxed

Structure (POSCAR):
```
Ce3V5H12
1.0
10.1231 0.0000 0.0000
-3.3744 9.5441 0.0000
-3.3744 -4.7721 8.2654
H V Ce
48 20 12
Direct
0.5853 0.6981 0.6699
0.5847 0.9718 0.6699
0.0847 0.9147 0.1129
0.3871 0.9718 0.8019
0.0853 0.1699 0.1981
0.1981 0.5282 0.6129
0.8301 0.9153 0.0282
0.6981 0.5853 0.1699
0.6129 0.5847 0.9147
0.9153 0.8301 0.5282
0.3301 0.5282 0.4153
0.1699 0.0847 0.9718
0.4147 0.3019 0.3301
0.8019 0.3301 0.9147
0.0282 0.4153 0.8301
0.8301 0.9147 0.3019
0.9147 0.8301 0.8019
0.1981 0.6699 0.0853
0.4718 0.6699 0.0847
0.5847 0.6129 0.4147
0.8871 0.3019 0.4718
0.4153 0.0282 0.3301
0.6699 0.4718 0.5847
0.3301 0.8019 0.4147
0.9147 0.0847 0.6129
0.8019 0.4718 0.3871
0.6129 0.0282 0.1981
0.1129 0.4147 0.0847
0.0853 0.9153 0.3871
0.3019 0.8871 0.9718
0.9718 0.5847 0.1699
0.4718 0.8019 0.8871
0.4147 0.1129 0.5847
0.3871 0.4153 0.0853
0.3019 0.4147 0.8301
0.6981 0.1129 0.0282
0.9718 0.3871 0.3019
0.5853 0.8871 0.4153
0.1129 0.6981 0.5282
0.4153 0.3871 0.5853
0.6699 0.1981 0.5853
0.9153 0.0853 0.8871
0.0282 0.6129 0.6981
0.5282 0.3301 0.9153
0.1699 0.0853 0.6981
0.8871 0.5853 0.9153
0.0847 0.1699 0.4718
0.5282 0.1981 0.1129
0.8750 0.2500 0.6250
0.0000 0.0000 0.0000
0.2500 0.3750 0.6250
0.5000 0.0000 0.5000
0.5000 0.5000 0.5000
0.7500 0.6250 0.3750
0.3750 0.2500 0.1250
0.8750 0.6250 0.7500
0.1250 0.7500 0.3750
0.6250 0.8750 0.2500
0.3750 0.1250 0.7500
0.0000 0.5000 0.0000
0.5000 0.0000 0.0000
0.6250 0.7500 0.8750
0.5000 0.5000 0.0000
0.0000 0.5000 0.5000
0.2500 0.8750 0.1250
0.0000 0.0000 0.5000
0.7500 0.1250 0.8750
0.1250 0.3750 0.2500
0.2500 0.6250 0.8750
0.3750 0.6250 0.2500
0.6250 0.2500 0.3750
0.7500 0.3750 0.1250
0.1250 0.2500 0.8750
0.6250 0.3750 0.7500
0.1250 0.8750 0.7500
0.8750 0.7500 0.1250
0.7500 0.8750 0.6250
0.3750 0.7500 0.6250
0.8750 0.1250 0.2500
0.2500 0.1250 0.3750
```

Results
Raw total energy   -428.8 eV per cell
Space group   Ia-3d, No. 230
ρ   5.7 g/cm3

---

# 3
ZrIr2Au | PBE | relaxed

Structure (POSCAR):
```
ZrIr2Au
1.0
4.9373 -0.0047 -0.0026
1.5320 4.6937 -0.0006
-3.2350 -2.3459 2.9054
Ir Au Zr
2 1 1
Direct
0.9998 0.0001 0.0000
0.5002 0.4999 0.0000
0.2500 0.7500 0.5000
0.7500 0.2500 0.5000
```

Results
Raw total energy   -31.2 eV per cell
Energy of formation from the pure elements   -412 meV/atom
Energy relative to the lowest polymorph listed for this composition   121 meV/atom
Space group   I4/mmm, No. 139
ρ   16.6 g/cm3

---

# 4
CaSc2P | PBE | relaxed

Structure (POSCAR):
```
CaSc2P
1.0
-4.8693 0.6046 3.2054
-1.1171 -3.9215 4.2100
4.4911 3.3351 -1.7485
Sc Ca P
2 1 1
Direct
0.5000 0.5000 0.0000
0.0000 0.0000 0.0000
0.2500 0.7500 0.5000
0.7500 0.2500 0.5000
```

Results
Raw total energy   -21.2 eV per cell
Energy of formation from the pure elements   -276 meV/atom
Space group   I4/mmm, No. 139
ρ   3.0 g/cm3

---

# 5
Mn4CrSe | PBE | relaxed

Structure (POSCAR):
```
Mn4CrSe
1.0
0.0000 3.3833 3.3833
3.3833 0.0000 3.3833
3.3833 3.3833 0.0000
Se Cr Mn
1 1 4
Direct
0.7500 0.7500 0.7500
0.0000 0.0000 0.0000
0.3750 0.8751 0.3750
0.3750 0.3750 0.3750
0.3750 0.3750 0.8751
0.8751 0.3750 0.3750
```

Results
Raw total energy   -47.1 eV per cell
ΔE_f (raw)   2.7 eV per formula unit
Space group   F-43m, No. 216
ρ   7.5 g/cm3

---

# 6
Ir2PtW2 | PBE | relaxed

Structure (POSCAR):
```
Ir2PtW2
1.0
-4.2937 -1.3109 1.8562
0.0538 -3.1231 4.2759
1.3383 0.8980 10.0869
Ir Pt W
4 2 4
Direct
0.9803 0.5388 0.8507
0.0197 0.4612 0.1493
0.3698 0.9612 0.6493
0.6302 0.0388 0.3507
0.8327 0.2500 0.7500
0.1673 0.7500 0.2500
0.7679 0.3230 0.4644
0.2321 0.6770 0.5356
0.4447 0.8229 0.9644
0.5553 0.1771 0.0356
```

Results
Raw total energy   -101.5 eV per cell
Energy of formation from the pure elements   -218 meV/atom
Energy relative to the lowest polymorph listed for this composition   0 meV/atom
Space group   C2/c, No. 15
ρ   20.6 g/cm3

---

- Look up the ρ of the sixth one.
  20.6 g/cm3

---

- The highest raw total energy belongs to which entry?
  CaSc2P